An optimized crystal structure of PuAlPd. Source: Alexandria via LeMat-Bulk, functional PBE.

```
data_PuAlPd
_chemical_formula_sum 'Pu2 Al2 Pd2'
_cell_length_a 7.7099
_cell_length_b 7.7099
_cell_length_c 7.7099
_cell_angle_alpha 148.69
_cell_angle_beta 148.69
_cell_angle_gamma 44.87
_space_group_name_H-M_alt 'P 1'
_space_group_IT_number 1
_space_group_name_Hall 'P 1'
loop_
_atom_site_label
_atom_site_fract_x
_atom_site_fract_y
_atom_site_fract_z
Pu1 0.1818 0.1818 0.0000
Pu2 0.8182 0.8182 0.0000
Al1 0.0000 0.5000 0.5000
Al2 0.5000 0.0000 0.5000
Pd1 0.3929 0.3929 0.0000
Pd2 0.6071 0.6071 0.0000
```

Values from the calculation:
- total moment (μB/f.u.) = 5.94
- E_form (meV/atom) = -479